Record 1
# CaBPt3

CaBPt3 after structural relaxation (PBE, Alexandria via LeMat-Bulk).

Lattice parameters (Å, degrees): 6.5073 6.5078 6.4191 51.11 104.10 128.34
Positions (direct):
Ca: 0.5911 0.0398 0.5393
Ca: 0.8824 0.3204 0.9694
B: 0.4489 0.5715 0.1507
B: 0.0245 0.7886 0.3580
Pt: 0.1101 0.0541 0.5030
Pt: 0.3633 0.3060 0.0057
Pt: 0.8594 0.8019 0.0058
Pt: 0.6140 0.5582 0.5029
Pt: 0.3230 0.8623 0.9869
Pt: 0.1504 0.4979 0.5218

- final energy (eV per atom) = -6.04
- energy of formation from the pure elements (eV/atom) = -0.675
- DOS(E_F) (states/eV/f.u.) = 1.52

Record 2
# CaBPt3

CaBPt3 after structural relaxation (PBE, Alexandria via LeMat-Bulk).

Lattice parameters (Å, degrees): 5.7286 5.3931 5.7455 64.02 90.01 90.04
Positions (direct):
Ca: 0.5703 0.7468 0.4626
Ca: 0.0696 0.7266 0.0461
B: 0.5700 0.3998 0.2010
B: 0.0698 0.0736 0.3078
Pt: 0.8239 0.2242 0.5124
Pt: 0.8159 0.2492 0.9963
Pt: 0.5696 0.8082 0.9364
Pt: 0.0703 0.6653 0.5723
Pt: 0.3239 0.2494 0.9963
Pt: 0.3159 0.2240 0.5124

- final energy (eV per atom) = -6.08
- energy of formation from the pure elements (eV/atom) = -0.717
- DOS(E_F) (states/eV/f.u.) = 1.41

Record 3
# CaBPt3

CaBPt3 after structural relaxation (PBE, Alexandria via LeMat-Bulk).

Lattice parameters (Å, degrees): 4.7842 4.7842 10.5662 76.92 76.92 90.00
Positions (direct):
Ca: 0.0000 0.0000 0.0000
Ca: 0.2500 0.7500 0.5000
B: 0.7050 0.2050 0.5899
B: 0.7950 0.2950 0.4101
Pt: 0.1170 0.8706 0.2589
Pt: 0.1294 0.8830 0.7411
Pt: 0.1294 0.3759 0.7411
Pt: 0.6241 0.8706 0.2589
Pt: 0.3480 0.3480 0.3041
Pt: 0.6520 0.6520 0.6959

- final energy (eV per atom) = -4.94
- energy of formation from the pure elements (eV/atom) = 0.419
- DOS(E_F) (states/eV/f.u.) = 5.24

Record 4
# CaBPt3

CaBPt3 after structural relaxation (PBE, Alexandria via LeMat-Bulk).

Lattice parameters (Å, degrees): 5.9803 5.9803 5.9803 54.06 54.06 54.06
Positions (direct):
Ca: 0.8278 0.8278 0.8278
B: 0.0685 0.0685 0.0685
Pt: 0.8203 0.3382 0.8203
Pt: 0.3382 0.8203 0.8203
Pt: 0.8203 0.8203 0.3382

- final energy (eV per atom) = -5.38
- energy of formation from the pure elements (eV/atom) = -0.016
- DOS(E_F) (states/eV/f.u.) = 2.10

Record 5
# CaBPt3

CaBPt3 after structural relaxation (PBE, Alexandria via LeMat-Bulk).

Lattice parameters (Å, degrees): 5.2750 5.2750 7.6360 69.79 69.79 90.00
Positions (direct):
Ca: 0.5792 0.0792 0.8416
Ca: 0.9208 0.4208 0.1584
B: 0.0000 0.0000 0.0000
B: 0.2500 0.7500 0.5000
Pt: 0.1151 0.8706 0.2587
Pt: 0.1294 0.8849 0.7413
Pt: 0.1294 0.3738 0.7413
Pt: 0.6262 0.8706 0.2587
Pt: 0.3131 0.3131 0.3737
Pt: 0.6869 0.6869 0.6263

- final energy (eV per atom) = -5.73
- energy of formation from the pure elements (eV/atom) = -0.372
- DOS(E_F) (states/eV/f.u.) = 0.86

Record 6
# CaBPt

CaBPt after structural relaxation (PBE, Alexandria via LeMat-Bulk).

Lattice parameters (Å, degrees): 5.2057 6.1985 7.0323 90.00 90.00 90.00
Positions (direct):
Pt: 0.7500 0.1106 0.5651
Pt: 0.2500 0.6106 0.9349
Pt: 0.2500 0.8894 0.4349
Pt: 0.7500 0.3894 0.0651
B: 0.7500 0.2837 0.3304
B: 0.2500 0.7837 0.1696
B: 0.2500 0.7163 0.6696
B: 0.7500 0.2163 0.8304
Ca: 0.7500 0.6226 0.6556
Ca: 0.2500 0.1226 0.8444
Ca: 0.2500 0.3774 0.3444
Ca: 0.7500 0.8774 0.1556

- final energy (eV per atom) = -5.35
- energy of formation from the pure elements (eV/atom) = -0.445
- DOS(E_F) (states/eV/f.u.) = 1.02
- offset from the most stable computed form (eV/f.u.) = 0.34

Record 7
# CaB2Pt

CaB2Pt after structural relaxation (PBE, Alexandria via LeMat-Bulk).

Lattice parameters (Å, degrees): 4.1393 4.1393 4.1393 60.00 60.00 60.00
Positions (direct):
Ca: 0.0000 0.0000 0.0000
B: 0.2500 0.2500 0.2500
B: 0.7500 0.7500 0.7500
Pt: 0.5000 0.5000 0.5000

- final energy (eV per atom) = -4.93
- energy of formation from the pure elements (eV/atom) = 0.421
- DOS(E_F) (states/eV/f.u.) = 0.87
- offset from the most stable computed form (eV/f.u.) = 2.41

Record 8
# CaBPt3

CaBPt3 after structural relaxation (PBE, Alexandria via LeMat-Bulk).

Lattice parameters (Å, degrees): 5.8367 5.8367 5.8367 66.46 66.46 66.46
Positions (direct):
Ca: 0.2334 0.2334 0.2334
Ca: 0.7334 0.7334 0.7334
B: 0.0205 0.0205 0.0205
B: 0.5205 0.5205 0.5205
Pt: 0.2144 0.7570 0.7565
Pt: 0.2570 0.7144 0.2565
Pt: 0.2565 0.2570 0.7144
Pt: 0.7144 0.2565 0.2570
Pt: 0.7570 0.7565 0.2144
Pt: 0.7565 0.2144 0.7570

- final energy (eV per atom) = -6.02
- energy of formation from the pure elements (eV/atom) = -0.661
- DOS(E_F) (states/eV/f.u.) = 2.55